# ScBeSb2

A relaxed ScBeSb2 crystal (PBE, Alexandria via LeMat-Bulk).

Calculated values
Energy relative to the elements, uncorrected, eV per formula unit: 0.0
Total moment, μB per atom: 0.1092

Cell lengths 3.147, 3.147, 9.398 Å; angles 90.00, 90.00, 98.94 degrees
Element x y z (fractional)
Sc: 0.000 0.000 0.000
Be: 0.500 0.500 0.185
Sb: 0.000 0.000 0.362
Sb: 0.500 0.500 0.756

---

# ScBeSb2

A relaxed ScBeSb2 crystal (PBE, Alexandria via LeMat-Bulk).

Calculated values
Energy relative to the elements, uncorrected, eV per formula unit: 0.1
Total moment, μB per atom: 0.0000

Cell lengths 5.334, 5.334, 5.334 Å; angles 130.96, 130.96, 71.88 degrees
Element x y z (fractional)
Sc: 0.000 0.000 0.000
Be: 0.500 0.500 0.000
Sb: 0.250 0.750 0.500
Sb: 0.750 0.250 0.500

---

# ScBeSb2

A relaxed ScBeSb2 crystal (PBE, Alexandria via LeMat-Bulk).

Calculated values
Energy relative to the elements, uncorrected, eV per formula unit: -0.4
Total moment, μB per atom: 0.0000

Cell lengths 7.295, 7.295, 7.295 Å; angles 30.49, 30.49, 30.49 degrees
Element x y z (fractional)
Sc: 0.000 0.000 0.000
Be: 0.500 0.500 0.500
Sb: 0.237 0.237 0.237
Sb: 0.763 0.763 0.763

---

total moment of number 3 (ScBeSb2)? 0.0000 μB per atom